(1)
Material: Y4CdRu
Method: DFT, GGA-PBE
State: optimized geometry

The value obtained for the formation energy is -328 meV per atom. The offset from the most stable computed form comes out at 0.000 eV per formula unit.

It has space group F-43m (No. 216), with a = 13.661 Å, b = 13.661 Å, c = 13.661 Å, α = 90.00°, β = 90.00° and γ = 90.00°. The distinct sites, in fractional coordinates, are Y at (0.000, 0.000, 0.189), Y at (0.060, 0.250, 0.750), Y at (0.097, 0.097, 0.403), Cd at (0.170, 0.170, 0.170) and Ru at (0.111, 0.111, 0.611).

(2)
Material: Al2BWI
Method: DFT, GGA-PBE
State: optimized geometry

The calculation puts the total energy at -2.907 eV/atom.

It has space group P4/mmm (No. 123), with a = 5.538 Å, b = 5.538 Å, c = 5.017 Å, α = 90.00°, β = 90.00° and γ = 90.00°. The distinct sites, in fractional coordinates, are Al at (0.000, 0.500, 0.000), B at (0.000, 0.000, 0.500), W at (0.500, 0.500, 0.500) and I at (0.500, 0.500, 0.000).

(3)
Material: Hf2ReTc2
Method: DFT, GGA-PBE
State: optimized geometry

The value obtained for the formation energy is -85 meV per atom.

It has space group P4/mbm (No. 127), with a = 6.459 Å, b = 6.459 Å, c = 4.393 Å, α = 90.00°, β = 90.00° and γ = 90.00°. The distinct sites, in fractional coordinates, are Hf at (0.180, 0.320, 0.000), Re at (0.000, 0.000, 0.500) and Tc at (0.139, 0.639, 0.500).

(4)
Material: KVSe2
Method: DFT, GGA-PBE
State: optimized geometry

The calculation puts the total energy at -5.201 eV/atom.

It has space group P2/m (No. 10), with a = 7.306 Å, b = 5.706 Å, c = 7.308 Å, α = 90.00°, β = 90.07° and γ = 90.00°. The distinct sites, in fractional coordinates, are K at (0.000, 0.000, 0.000), K at (0.500, 0.500, 0.500), V at (0.000, 0.250, 0.500), Se at (0.103, 0.500, 0.740) and Se at (0.240, 0.000, 0.398).

| no. | calculated volume (Å³ per atom) |
| --- | --- |
| 1 | 26.6 |
| 2 | 30.8 |
| 3 | 18.3 |
| 4 | 38.1 |